# ZrIrN2, relaxed, DFT PBE
data_ZrIrN2
_chemical_formula_sum 'Zr2 Ir2 N4'
_space_group_name_H-M_alt 'P 1'
_space_group_IT_number 1
_cell_length_a 3.046
_cell_length_b 5.532
_cell_length_c 5.982
_cell_angle_alpha 81.01
_cell_angle_beta 80.62
_cell_angle_gamma 87.99
loop_
_space_group_symop_operation_xyz
'x,y,z'
loop_
_atom_site_label
_atom_site_fract_x
_atom_site_fract_y
_atom_site_fract_z
N1 0.453 0.209 0.400
N2 0.848 0.769 0.524
Ir1 0.668 0.924 0.214
N3 0.712 0.174 0.916
Zr1 0.154 0.393 0.075
N4 0.702 0.687 0.971
Ir2 0.390 0.525 0.493
Zr2 0.263 0.934 0.764
# E_form (uncorrected): -457 meV/atom
# total DFT energy (no corrections): -8.972 eV per atom
# space-group type: P1 (1)
# relative energy among the computed polymorphs: 31.6 kJ/mol of formula units

# ZrIrN, relaxed, DFT PBE
data_ZrIrN
_chemical_formula_sum 'Zr4 Ir4 N4'
_space_group_name_H-M_alt 'P 1'
_space_group_IT_number 1
_cell_length_a 3.401
_cell_length_b 3.415
_cell_length_c 15.281
_cell_angle_alpha 90.00
_cell_angle_beta 90.00
_cell_angle_gamma 90.00
loop_
_space_group_symop_operation_xyz
'x,y,z'
loop_
_atom_site_label
_atom_site_fract_x
_atom_site_fract_y
_atom_site_fract_z
N1 0.751 0.250 0.310
Ir1 0.250 0.250 0.504
N2 0.249 0.750 0.690
Ir2 0.750 0.750 0.996
N3 0.749 0.250 0.810
Zr1 0.751 0.250 0.170
Zr2 0.249 0.750 0.830
Zr3 0.749 0.250 0.670
Zr4 0.251 0.750 0.330
Ir3 0.750 0.750 0.496
N4 0.251 0.750 0.190
Ir4 0.250 0.250 0.004
# E_form (uncorrected): -598 meV/atom
# total DFT energy (no corrections): -9.176 eV per atom
# space-group type: Pnma (62)

# ZrIrN2, relaxed, DFT PBE
data_ZrIrN2
_chemical_formula_sum 'Zr1 Ir1 N2'
_space_group_name_H-M_alt 'P 1'
_space_group_IT_number 1
_cell_length_a 6.432
_cell_length_b 6.432
_cell_length_c 6.432
_cell_angle_alpha 29.25
_cell_angle_beta 29.25
_cell_angle_gamma 29.25
loop_
_space_group_symop_operation_xyz
'x,y,z'
loop_
_atom_site_label
_atom_site_fract_x
_atom_site_fract_y
_atom_site_fract_z
Zr1 0.500 0.500 0.500
Ir1 0.000 0.000 0.000
N1 0.104 0.104 0.104
N2 0.896 0.896 0.896
# E_form (uncorrected): -274 meV/atom
# total DFT energy (no corrections): -8.789 eV per atom
# space-group type: R-3m (166)
# relative energy among the computed polymorphs: 102.2 kJ/mol of formula units